Density functional theory data (PBE) for an optimized crystal structure of KSi2P.

The space group is I-4m2 (No. 119) and the conventional cell measures 4.260, 4.260 and 8.704 Å, with angles of 90.00, 90.00 and 90.00 degrees. The inequivalent atoms are K at (0.000, 0.000, 0.000), Si at (0.000, 0.000, 0.500), Si at (0.000, 0.500, 0.250) and P at (0.000, 0.500, 0.750).

As for the magnetic moment: 0.0 μB per formula unit. As for the uncorrected formation energy: 2.8 eV/f.u. For the distance to the lowest polymorph of the same formula, the calculation gives 612.6 meV per atom.